(1)
## Be2PtPb (GGA-PBE)

Data for a geometry-optimized Be2PtPb structure.

The structure in CIF format:
```
data_Be2PtPb
_symmetry_space_group_name_H-M 'I -4 2 d'
_symmetry_Int_Tables_number 122
_symmetry_space_group_name_Hall 'I -4 2bw'
_cell_length_a 6.7148
_cell_length_b 6.7148
_cell_length_c 6.3381
_cell_angle_alpha 90.00
_cell_angle_beta 90.00
_cell_angle_gamma 90.00
loop_
_atom_site_label
_atom_site_fract_x
_atom_site_fract_y
_atom_site_fract_z
Be1 0.1744 0.2500 0.1250
Pt1 0.0000 0.0000 0.0000
Pb1 0.0000 0.0000 0.5000
```

For the calculated volume, the calculation gives 17.86 A^3/atom. Its uncorrected energy is -4.06 eV per atom.



(2)
## SrMgAu2 (GGA-PBE)

Data for a geometry-optimized SrMgAu2 structure.

The structure in CIF format:
```
data_SrMgAu2
_symmetry_space_group_name_H-M 'P 1 m 1'
_symmetry_Int_Tables_number 6
_symmetry_space_group_name_Hall 'P -2y'
_cell_length_a 3.8424
_cell_length_b 4.6259
_cell_length_c 5.9353
_cell_angle_alpha 90.00
_cell_angle_beta 108.59
_cell_angle_gamma 90.00
loop_
_atom_site_label
_atom_site_fract_x
_atom_site_fract_y
_atom_site_fract_z
Sr1 0.0000 0.0000 0.0000
Mg1 0.2826 0.5000 0.5655
Au1 0.5780 0.5000 0.1572
Au2 0.7307 0.0000 0.4653
```

For the calculated volume, the calculation gives 25.00 A^3/atom. Its uncorrected energy is -3.04 eV per atom.



(3)
## DyErSn6 (GGA-PBE)

Data for a geometry-optimized DyErSn6 structure.

The structure in CIF format:
```
data_DyErSn6
_symmetry_space_group_name_H-M 'P 4/m m m'
_symmetry_Int_Tables_number 123
_symmetry_space_group_name_Hall '-P 4 2'
_cell_length_a 4.7855
_cell_length_b 4.7855
_cell_length_c 9.1086
_cell_angle_alpha 90.00
_cell_angle_beta 90.00
_cell_angle_gamma 90.00
loop_
_atom_site_label
_atom_site_fract_x
_atom_site_fract_y
_atom_site_fract_z
Dy1 0.0000 0.0000 0.0000
Er1 0.0000 0.0000 0.5000
Sn1 0.0000 0.5000 0.2513
Sn2 0.5000 0.5000 0.0000
Sn3 0.5000 0.5000 0.5000
```

For the calculated volume, the calculation gives 26.07 A^3/atom. Its uncorrected energy is -4.55 eV per atom.



(4)
## RbAlCu2 (GGA-PBE)

Data for a geometry-optimized RbAlCu2 structure.

The structure in CIF format:
```
data_RbAlCu2
_symmetry_space_group_name_H-M 'I 41/a m d'
_symmetry_Int_Tables_number 141
_cell_length_a 5.1470
_cell_length_b 5.1470
_cell_length_c 16.6226
_cell_angle_alpha 90.00
_cell_angle_beta 90.00
_cell_angle_gamma 90.00
loop_
_symmetry_equiv_pos_as_xyz
'x,y,z'
'-x,-y,-z'
'-y+1/4,x+3/4,z+1/4'
'y+1/4,-x+3/4,-z+1/4'
'-x+1/2,-y,z+1/2'
'x+1/2,y,-z+1/2'
'y+1/4,-x+1/4,z+3/4'
'-y+1/4,x+1/4,-z+3/4'
'x,-y,-z'
'-x,y,z'
'-y+1/4,-x+1/4,-z+3/4'
'y+1/4,x+1/4,z+3/4'
'-x+1/2,y,-z+1/2'
'x+1/2,-y,z+1/2'
'y+1/4,x+3/4,-z+1/4'
'-y+1/4,-x+3/4,z+1/4'
'x+1/2,y+1/2,z+1/2'
'-x+1/2,-y+1/2,-z+1/2'
'-y+3/4,x+1/4,z+3/4'
'y+3/4,-x+1/4,-z+3/4'
'-x,-y+1/2,z'
'x,y+1/2,-z'
'y+3/4,-x+3/4,z+1/4'
'-y+3/4,x+3/4,-z+1/4'
'x+1/2,-y+1/2,-z+1/2'
'-x+1/2,y+1/2,z+1/2'
'-y+3/4,-x+3/4,-z+1/4'
'y+3/4,x+3/4,z+1/4'
'-x,y+1/2,-z'
'x,-y+1/2,z'
'y+3/4,x+1/4,-z+3/4'
'-y+3/4,-x+1/4,z+3/4'
loop_
_atom_site_label
_atom_site_fract_x
_atom_site_fract_y
_atom_site_fract_z
Rb1 0.0000 0.2500 0.3750
Al1 0.0000 0.2500 0.8750
Cu1 0.0000 0.0000 0.0000
```

As for the relative energy among the computed polymorphs: 0.0000 eV per atom. For the calculated volume, the calculation gives 27.52 A^3/atom. Its uncorrected energy is -2.90 eV per atom.



(5)
## ZrRuSe2 (GGA-PBE)

Data for a geometry-optimized ZrRuSe2 structure.

The structure in CIF format:
```
data_ZrRuSe2
_symmetry_space_group_name_H-M 'R -3 m'
_symmetry_Int_Tables_number 166
_symmetry_space_group_name_Hall '-R 3 2"'
_cell_length_a 3.3243
_cell_length_b 3.3243
_cell_length_c 25.6613
_cell_angle_alpha 90.00
_cell_angle_beta 90.00
_cell_angle_gamma 120.00
loop_
_atom_site_label
_atom_site_fract_x
_atom_site_fract_y
_atom_site_fract_z
Zr1 0.0000 0.0000 0.0000
Ru1 0.0000 0.0000 0.5000
Se1 0.0000 0.0000 0.4073
```

The formation energy from raw total energies comes out at -0.21 eV/atom. As for the relative energy among the computed polymorphs: 0.4876 eV per atom. For the calculated volume, the calculation gives 20.47 A^3/atom. Its uncorrected energy is -6.41 eV per atom.



(6)
## BaNd2Hg6 (GGA-PBE)

Data for a geometry-optimized BaNd2Hg6 structure.

The structure in CIF format:
```
data_BaNd2Hg6
_symmetry_space_group_name_H-M 'C 1 2/m 1'
_symmetry_Int_Tables_number 12
_symmetry_space_group_name_Hall '-C 2y'
_cell_length_a 15.8356
_cell_length_b 8.6517
_cell_length_c 3.9002
_cell_angle_alpha 90.00
_cell_angle_beta 103.26
_cell_angle_gamma 90.00
loop_
_atom_site_label
_atom_site_fract_x
_atom_site_fract_y
_atom_site_fract_z
Ba1 0.0000 0.0000 0.0000
Nd1 0.1457 0.5000 0.1355
Hg1 0.0000 0.3318 0.5000
Hg2 0.1748 0.1794 0.6653
```

For the calculated volume, the calculation gives 28.89 A^3/atom. Its uncorrected energy is -1.89 eV per atom.



(7)
## SmThTlIn (GGA-PBE)

Data for a geometry-optimized SmThTlIn structure.

The structure in CIF format:
```
data_SmThTlIn
_symmetry_space_group_name_H-M 'P 4 m m'
_symmetry_Int_Tables_number 99
_symmetry_space_group_name_Hall 'P 4 -2'
_cell_length_a 3.5747
_cell_length_b 3.5747
_cell_length_c 8.9576
_cell_angle_alpha 90.00
_cell_angle_beta 90.00
_cell_angle_gamma 90.00
loop_
_atom_site_label
_atom_site_fract_x
_atom_site_fract_y
_atom_site_fract_z
Sm1 0.0000 0.0000 0.0000
Th1 0.0000 0.0000 0.4962
Tl1 0.5000 0.5000 0.7529
In1 0.5000 0.5000 0.2439
```

As for the relative energy among the computed polymorphs: 0.0000 eV per atom. For the calculated volume, the calculation gives 28.62 A^3/atom. Its uncorrected energy is -4.63 eV per atom.



(8)
## Al3Co2Cu (GGA-PBE)

Data for a geometry-optimized Al3Co2Cu structure.

The structure in CIF format:
```
data_Al3Co2Cu
_symmetry_space_group_name_H-M 'P 4/m m m'
_symmetry_Int_Tables_number 123
_symmetry_space_group_name_Hall '-P 4 2'
_cell_length_a 2.8550
_cell_length_b 2.8550
_cell_length_c 8.9500
_cell_angle_alpha 90.00
_cell_angle_beta 90.00
_cell_angle_gamma 90.00
loop_
_atom_site_label
_atom_site_fract_x
_atom_site_fract_y
_atom_site_fract_z
Al1 0.0000 0.0000 0.0000
Al2 0.0000 0.0000 0.3200
Co1 0.5000 0.5000 0.1617
Cu1 0.5000 0.5000 0.5000
```

For the calculated volume, the calculation gives 12.16 A^3/atom. Its uncorrected energy is -5.40 eV per atom.